[1]
KLa2Cr: relaxed, GGA-PBEsol.

Lattice parameters (Å, degrees): 6.918 6.918 3.393 102.14 102.14 119.47
Fractional positions:
K1 0.000 0.000 0.000
La1 0.000 0.500 0.500
La2 0.500 0.000 0.500
Cr1 0.500 0.500 0.000

Computed properties:
For the formation energy, the calculation gives 0.8419 eV/atom. The calculation puts the density of states at the Fermi level at 4.75 states/eV/cell. The magnetization is 4.8 Bohr magnetons per cell.

[2]
KLaCr2O8: relaxed, GGA-PBEsol.

Lattice parameters (Å, degrees): 8.703 7.452 10.950 90.00 92.72 90.00
Fractional positions:
K1 0.068 0.153 0.338
K2 0.068 0.347 0.838
K3 0.932 0.653 0.162
K4 0.932 0.847 0.662
La1 0.441 0.663 0.656
La2 0.441 0.837 0.156
La3 0.559 0.163 0.844
La4 0.559 0.337 0.344
Cr1 0.218 0.666 0.412
Cr2 0.218 0.834 0.912
Cr3 0.307 0.163 0.606
Cr4 0.307 0.337 0.106
Cr5 0.693 0.663 0.894
Cr6 0.693 0.837 0.394
Cr7 0.782 0.166 0.088
Cr8 0.782 0.334 0.588
O1 0.084 0.527 0.370
O2 0.084 0.973 0.870
O3 0.124 0.133 0.605
O4 0.124 0.367 0.105
O5 0.192 0.745 0.047
O6 0.192 0.755 0.547
O7 0.239 0.677 0.806
O8 0.239 0.823 0.306
O9 0.356 0.160 0.192
O10 0.356 0.340 0.692
O11 0.361 0.188 0.466
O12 0.361 0.312 0.966
O13 0.384 0.561 0.439
O14 0.384 0.939 0.939
O15 0.405 0.504 0.177
O16 0.405 0.996 0.677
O17 0.595 0.004 0.323
O18 0.595 0.496 0.823
O19 0.616 0.061 0.061
O20 0.616 0.439 0.561
O21 0.639 0.688 0.034
O22 0.639 0.812 0.534
O23 0.644 0.660 0.308
O24 0.644 0.840 0.808
O25 0.761 0.177 0.694
O26 0.761 0.323 0.194
O27 0.808 0.245 0.453
O28 0.808 0.255 0.953
O29 0.876 0.633 0.895
O30 0.876 0.867 0.395
O31 0.916 0.027 0.130
O32 0.916 0.473 0.630

Computed properties:
The calculation puts the density of states at the Fermi level at 0.00 states/eV/cell. As for the formation energy from raw total energies: -2.290 eV per atom. The magnetization is 0.0 Bohr magnetons per cell.

[3]
KLi2Cr: relaxed, GGA-PBEsol.

Lattice parameters (Å, degrees): 5.195 5.195 7.170 94.63 94.63 35.37
Fractional positions:
K1 0.000 0.000 0.000
Li1 0.506 0.506 0.526
Li2 0.763 0.763 0.349
Cr1 0.243 0.243 0.674

Computed properties:
For the formation energy, the calculation gives 0.6837 eV/atom. The calculation puts the density of states at the Fermi level at 1.68 states/eV/cell. For the distance to the lowest polymorph of the same formula, the calculation gives 0.024 eV per atom. The magnetization is 4.8 Bohr magnetons per cell.

[4]
KLi2Cr: relaxed, GGA-PBEsol.

Lattice parameters (Å, degrees): 5.145 5.145 6.998 95.16 95.16 36.05
Fractional positions:
K1 0.000 0.000 0.000
Li1 0.235 0.235 0.664
Li2 0.765 0.765 0.336
Cr1 0.500 0.500 0.500

Computed properties:
For the formation energy, the calculation gives 0.6601 eV/atom. The calculation puts the density of states at the Fermi level at 2.05 states/eV/cell. For the distance to the lowest polymorph of the same formula, the calculation gives 0.000 eV per atom. The magnetization is 4.7 Bohr magnetons per cell.

[5]
KLi2Cr: relaxed, GGA-PBEsol.

Lattice parameters (Å, degrees): 6.753 6.753 6.753 104.43 104.43 120.12
Fractional positions:
K1 0.000 0.000 0.000
K2 0.750 0.250 0.500
Li1 0.175 0.125 0.550
Li2 0.375 0.825 0.950
Li3 0.575 0.625 0.450
Li4 0.875 0.425 0.050
Cr1 0.250 0.750 0.500
Cr2 0.500 0.500 0.000

Computed properties:
For the formation energy, the calculation gives 0.8076 eV/atom. The calculation puts the density of states at the Fermi level at 3.90 states/eV/cell. For the distance to the lowest polymorph of the same formula, the calculation gives 0.147 eV per atom. The magnetization is 10.0 Bohr magnetons per cell.

[6]
KLi2Cr: relaxed, GGA-PBEsol.

Lattice parameters (Å, degrees): 3.542 3.542 8.664 90.00 90.00 90.00
Fractional positions:
K1 0.000 0.000 0.000
Li1 0.000 0.000 0.535
Li2 0.500 0.500 0.351
Cr1 0.500 0.500 0.691

Computed properties:
For the formation energy, the calculation gives 0.6637 eV/atom. The calculation puts the density of states at the Fermi level at 2.15 states/eV/cell. For the distance to the lowest polymorph of the same formula, the calculation gives 0.004 eV per atom. The magnetization is 4.9 Bohr magnetons per cell.